No. 1
This record from Alexandria via LeMat-Bulk describes a geometry-optimized Tm2Ge3Pd structure. The functional is GGA-PBE.

Formation enthalpy at 0 K ... -0.73 eV/atom
Space-group type ... No. 8

Cell: 5.698 5.698 6.826 Å, 126.67 126.67 44.10°
Fractional coordinates of all 6 atoms:
Tm  0.000  0.000  0.000
Tm  0.120  0.120  0.627
Ge  0.391  0.391  0.588
Ge  0.428  0.428  0.213
Ge  0.717  0.717  0.017
Pd  0.732  0.732  0.416

No. 2
This record from Alexandria via LeMat-Bulk describes a geometry-optimized CaH8Pd5 structure. The functional is GGA-PBE.

Space-group type ... No. 2

Cell: 4.901 5.219 5.722 Å, 93.69 92.49 105.01°
Fractional coordinates of all 14 atoms:
Ca  0.000  0.000  0.000
H  0.127  0.598  0.849
H  0.157  0.722  0.423
H  0.341  0.237  0.361
H  0.396  0.185  0.756
H  0.604  0.815  0.244
H  0.659  0.763  0.639
H  0.843  0.278  0.577
H  0.873  0.402  0.151
Pd  0.226  0.415  0.608
Pd  0.266  0.574  0.133
Pd  0.500  0.000  0.500
Pd  0.734  0.426  0.867
Pd  0.774  0.585  0.392

No. 3
This record from Alexandria via LeMat-Bulk describes a geometry-optimized Tl2OsBr structure. The functional is GGA-PBE.

Space-group type ... No. 6
Formation energy without anion corrections ... 0.728 eV per atom
Distance to the lowest polymorph of the same formula ... 144 meV per atom

Cell: 3.485 4.717 5.831 Å, 90.00 105.58 90.00°
Fractional coordinates of all 4 atoms:
Tl  0.000  0.000  0.000
Tl  0.316  0.500  0.603
Os  0.821  0.000  0.500
Br  0.584  0.500  0.156

No. 4
This record from Alexandria via LeMat-Bulk describes a geometry-optimized PmSmIn2Te4 structure. The functional is GGA-PBE.

Space-group type ... No. 10
Formation energy without anion corrections ... -0.990 eV per atom

Cell: 7.772 4.489 8.514 Å, 90.00 107.71 90.00°
Fractional coordinates of all 8 atoms:
Pm  0.000  0.000  0.000
Sm  0.500  0.500  0.000
In  0.000  0.500  0.500
In  0.500  0.000  0.500
Te  0.243  0.500  0.225
Te  0.260  0.000  0.775
Te  0.740  0.000  0.225
Te  0.757  0.500  0.775

Respective volume values: 118 141 92 283 Å³ per cell.
Respective total energy values: -32.36 -57.57 -14.72 -35.43 eV per cell.